# 1
First-principles (PBE-GGA) data for a relaxed AlIn2Sb2 crystal, as listed in Alexandria via LeMat-Bulk.

Calculated values
- E_form (uncorrected): 4.44 kcal/mol of atoms
- Energy relative to the lowest polymorph listed for this composition: 0 meV per atom

a b c (Å): 8.2129 8.2129 4.0471
angles (deg): 90.00 90.00 90.00
Closest atoms and distances in Å follow each position.
Sites, in units of the cell vectors:
Al 0.0000 0.0000 0.0000  4 Sb 3.07
Al 0.5000 0.5000 0.0000  4 Sb 3.07
In 0.1412 0.3588 0.5000  6 Sb 3.03-3.23, 1 In 3.28
In 0.3588 0.8588 0.5000  6 Sb 3.03-3.23, 1 In 3.28
In 0.6412 0.1412 0.5000  6 Sb 3.03-3.23, 1 In 3.28
In 0.8588 0.6412 0.5000  6 Sb 3.03-3.23, 1 In 3.28
Sb 0.1648 0.6648 0.0000  6 In 3.03-3.23, 2 Al 3.07
Sb 0.3352 0.1648 0.0000  6 In 3.03-3.23, 2 Al 3.07
Sb 0.6648 0.8352 0.0000  6 In 3.03-3.23, 2 Al 3.07
Sb 0.8352 0.3352 0.0000  6 In 3.03-3.23, 2 Al 3.07

# 2
First-principles (PBE-GGA) data for a relaxed AlInSb4 crystal, as listed in Alexandria via LeMat-Bulk.

Calculated values
- E_form (uncorrected): 7.18 kcal/mol of atoms

a b c (Å): 6.3244 6.3244 6.3244
angles (deg): 60.00 60.00 60.00
Closest atoms and distances in Å follow each position.
Sites, in units of the cell vectors:
Al 0.0000 0.0000 0.0000  12 Sb 3.71, 4 In 3.87
In 0.7500 0.7500 0.7500  12 Sb 3.71, 4 Al 3.87
Sb 0.3746 0.3746 0.3746  6 Sb 3.15-3.17
Sb 0.3746 0.3746 0.8763  6 Sb 3.15-3.17
Sb 0.3746 0.8763 0.3746  6 Sb 3.15-3.17
Sb 0.8763 0.3746 0.3746  6 Sb 3.15-3.17

Computed raw total energy (eV/atom) in order:
-3.300, -3.517